NaYS2Cl | PBE | optimized geometry

a = 5.268 Å, b = 5.268 Å, c = 5.385 Å
α = 90.00°, β = 90.00°, γ = 90.00°
Space group P4/mmm (No. 123)
Unique sites:
Na (0.000, 0.000, 0.000) x1
Y (0.500, 0.500, 0.500) x1
S (0.000, 0.500, 0.500) x2
Cl (0.500, 0.500, 0.000) x1

Values from the calculation:
As for the total energy: -24.49 eV for the cell shown. The distance to the lowest polymorph of the same formula is 0 meV/atom.

***

NaZnSCl2 | PBE | optimized geometry

a = 5.091 Å, b = 5.091 Å, c = 4.644 Å
α = 90.00°, β = 90.00°, γ = 90.00°
Space group P4/mmm (No. 123)
Unique sites:
Na (0.000, 0.000, 0.000) x1
Zn (0.500, 0.500, 0.500) x1
S (0.500, 0.500, 0.000) x1
Cl (0.000, 0.500, 0.500) x2

Values from the calculation:
As for the total energy: -14.05 eV for the cell shown. The distance to the lowest polymorph of the same formula is 0 meV/atom.

***

NaZnSCl | PBE | optimized geometry

a = 3.8782 Å, b = 3.8782 Å, c = 6.6879 Å
α = 90.00°, β = 90.00°, γ = 120.00°
Space group P3m1 (No. 156)
Unique sites:
Na (0.0000, 0.0000, 0.0000) x1
Zn (0.6667, 0.3333, 0.4223) x1
S (0.3333, 0.6667, 0.3030) x1
Cl (0.6667, 0.3333, 0.7731) x1

Values from the calculation:
As for the total energy: -13.37 eV for the cell shown.

***

NaZnSCl2 | PBE | optimized geometry

a = 4.972 Å, b = 4.972 Å, c = 5.299 Å
α = 90.00°, β = 90.00°, γ = 90.00°
Space group P4/mmm (No. 123)
Unique sites:
Na (0.000, 0.000, 0.000) x1
Zn (0.500, 0.500, 0.500) x1
S (0.000, 0.000, 0.500) x1
Cl (0.000, 0.500, 0.000) x2

Values from the calculation:
As for the total energy: -10.06 eV for the cell shown. The distance to the lowest polymorph of the same formula is 798 meV/atom.

***

NaZrS2Cl | PBE | optimized geometry

a = 4.855 Å, b = 4.855 Å, c = 4.530 Å
α = 90.00°, β = 90.00°, γ = 90.00°
Space group P4/mmm (No. 123)
Unique sites:
Na (0.000, 0.000, 0.000) x1
Zr (0.500, 0.500, 0.500) x1
S (0.000, 0.500, 0.000) x2
Cl (0.000, 0.000, 0.500) x1

Values from the calculation:
As for the total energy: -19.78 eV for the cell shown. The distance to the lowest polymorph of the same formula is 1364 meV/atom.

***

NaZrSCl2 | PBE | optimized geometry

a = 5.098 Å, b = 5.098 Å, c = 5.011 Å
α = 90.00°, β = 90.00°, γ = 90.00°
Space group P4/mmm (No. 123)
Unique sites:
Na (0.000, 0.000, 0.000) x1
Zr (0.500, 0.500, 0.500) x1
S (0.500, 0.500, 0.000) x1
Cl (0.000, 0.500, 0.500) x2

Values from the calculation:
As for the total energy: -24.59 eV for the cell shown. The distance to the lowest polymorph of the same formula is 0 meV/atom.

***

NaZrSCl2 | PBE | optimized geometry

a = 4.645 Å, b = 4.645 Å, c = 5.211 Å
α = 90.00°, β = 90.00°, γ = 90.00°
Space group P4/mmm (No. 123)
Unique sites:
Na (0.000, 0.000, 0.000) x1
Zr (0.500, 0.500, 0.500) x1
S (0.000, 0.000, 0.500) x1
Cl (0.000, 0.500, 0.000) x2

Values from the calculation:
As for the total energy: -19.31 eV for the cell shown. The distance to the lowest polymorph of the same formula is 1057 meV/atom.

***

NaZrS2Cl | PBE | optimized geometry

a = 5.010 Å, b = 5.010 Å, c = 5.138 Å
α = 90.00°, β = 90.00°, γ = 90.00°
Space group P4/mmm (No. 123)
Unique sites:
Na (0.000, 0.000, 0.000) x1
Zr (0.500, 0.500, 0.500) x1
S (0.000, 0.500, 0.500) x2
Cl (0.500, 0.500, 0.000) x1

Values from the calculation:
As for the total energy: -26.60 eV for the cell shown. The distance to the lowest polymorph of the same formula is 0 meV/atom.

***

NaSbCl3 | PBE | optimized geometry

a = 7.455 Å, b = 3.585 Å, c = 11.601 Å
α = 90.00°, β = 105.44°, γ = 90.00°
Space group P2_1/m (No. 11)
Unique sites:
Na (0.246, 0.250, 0.246) x2
Sb (0.329, 0.250, 0.816) x2
Cl (0.011, 0.750, 0.312) x2
Cl (0.300, 0.750, 0.068) x2
Cl (0.443, 0.250, 0.636) x2

Values from the calculation:
As for the total energy: -32.79 eV for the cell shown. The distance to the lowest polymorph of the same formula is 29 meV/atom.

***

Na2Sb2Cl | PBE | optimized geometry

a = 4.188 Å, b = 4.188 Å, c = 17.323 Å
α = 90.00°, β = 90.00°, γ = 90.00°
Space group I4/mmm (No. 139)
Unique sites:
Na (0.000, 0.000, 0.096) x4
Sb (0.000, 0.500, 0.250) x4
Cl (0.000, 0.000, 0.500) x2

Values from the calculation:
As for the total energy: -31.96 eV for the cell shown. The distance to the lowest polymorph of the same formula is 0 meV/atom.

***

| no. | DOS at the Fermi energy (states/eV/atom) |
| --- | --- |
| 1 | 0.62 |
| 2 | 0.69 |
| 3 | 0.00 |
| 4 | 0.97 |
| 5 | 0.89 |
| 6 | 0.32 |
| 7 | 0.74 |
| 8 | 0.11 |
| 9 | 0.27 |
| 10 | 0.26 |